No. 1
{"formula": "Y2TeIr", "functional": "GGA-PBE", "state": "optimized geometry", "lattice_angstrom": [[2.0851, 1.2038, 7.1833], [-2.0851, 1.2038, 7.1833], [0.0000, -2.4076, 7.1833]], "species": ["Y", "Y", "Te", "Ir"], "fractional_positions": [[0.0000, 0.0000, 0.0000], [0.1954, 0.1954, 0.1954], [0.4321, 0.4321, 0.4321], [0.5960, 0.5960, 0.5960]], "sg": "R3m (160)", "e_form_raw_ev_per_fu": -4.1, "mass_density_g_cm3": 7.64}

No. 2
{"formula": "YTeIr2", "functional": "GGA-PBE", "state": "optimized geometry", "lattice_angstrom": [[-2.0367, 2.0367, 4.6231], [2.0367, -2.0367, 4.6231], [2.0367, 2.0367, -4.6231]], "species": ["Y", "Te", "Ir", "Ir"], "fractional_positions": [[0.0000, 0.0000, 0.0000], [0.7500, 0.2500, 0.5000], [0.2500, 0.7500, 0.5000], [0.5000, 0.5000, 0.0000]], "sg": "I-4m2 (119)", "e_form_raw_ev_per_fu": -0.9, "mass_density_g_cm3": 13.01}

No. 3
{"formula": "Y2TeIr", "functional": "GGA-PBE", "state": "optimized geometry", "lattice_angstrom": [[2.2122, 1.2772, 6.6870], [-2.2122, 1.2772, 6.6870], [0.0000, -2.5544, 6.6870]], "species": ["Y", "Y", "Te", "Ir"], "fractional_positions": [[0.0000, 0.0000, 0.0000], [0.1858, 0.1858, 0.1858], [0.7517, 0.7517, 0.7517], [0.4415, 0.4415, 0.4415]], "sg": "R3m (160)", "e_form_raw_ev_per_fu": -1.8, "mass_density_g_cm3": 7.29}

No. 4
{"formula": "YTe2Ir", "functional": "GGA-PBE", "state": "optimized geometry", "lattice_angstrom": [[3.6177, 0.0000, 0.0000], [0.0000, 3.6177, 0.0000], [0.0000, 0.0000, 6.9935]], "species": ["Y", "Te", "Te", "Ir"], "fractional_positions": [[0.0000, 0.0000, 0.0000], [0.5000, 0.5000, 0.2701], [0.5000, 0.5000, 0.7299], [0.0000, 0.0000, 0.5000]], "de_polymorph_ev_per_atom": 0.650, "sg": "P4/mmm (123)", "e_form_raw_ev_per_fu": -0.3, "mass_density_g_cm3": 9.73}

No. 5
{"formula": "YTeIr2", "functional": "GGA-PBE", "state": "optimized geometry", "lattice_angstrom": [[3.3419, 0.0000, 0.0000], [0.0000, 4.2912, 0.0000], [0.0000, 0.0000, 5.7751]], "species": ["Y", "Te", "Ir", "Ir"], "fractional_positions": [[0.0000, 0.0000, 0.0000], [0.5000, 0.0000, 0.5000], [0.5000, 0.5000, 0.2322], [0.5000, 0.5000, 0.7678]], "sg": "Pmmm (47)", "e_form_raw_ev_per_fu": -1.1, "mass_density_g_cm3": 12.05}

No. 6
{"formula": "YTe2Ir", "functional": "GGA-PBE", "state": "optimized geometry", "lattice_angstrom": [[1.9970, 1.1530, 8.8427], [-1.9970, 1.1530, 8.8427], [0.0000, -2.3059, 8.8427]], "species": ["Y", "Te", "Te", "Ir"], "fractional_positions": [[0.0000, 0.0000, 0.0000], [0.1155, 0.1155, 0.1155], [0.8845, 0.8845, 0.8845], [0.5000, 0.5000, 0.5000]], "de_polymorph_ev_per_atom": 0.524, "sg": "R-3m (166)", "e_form_raw_ev_per_fu": -0.8, "mass_density_g_cm3": 7.29}